1.
# CaHf2ScCu PBE optimized geometry
data_CaHf2ScCu
_chemical_formula_sum 'Ca1 Hf2 Sc1 Cu1'
_space_group_name_H-M_alt 'P 4/m m m'
_space_group_IT_number 123
_space_group_name_Hall '-P 4 2'
_cell_length_a 5.059
_cell_length_b 5.059
_cell_length_c 4.930
_cell_angle_alpha 90.00
_cell_angle_beta 90.00
_cell_angle_gamma 90.00
loop_
_atom_site_label
_atom_site_type_symbol
_atom_site_fract_x
_atom_site_fract_y
_atom_site_fract_z
_atom_site_occupancy
Ca1 Ca 0.000 0.000 0.000 1
Hf1 Hf 0.000 0.500 0.000 1
Sc1 Sc 0.000 0.000 0.500 1
Cu1 Cu 0.500 0.500 0.500 1
# - Density of states at the Fermi level: 0.804 states/eV/atom
# - Formation energy: 1.78 eV/atom
# - VASP energy: -23.41 eV/cell



2.
# MgB4Ir4 PBE optimized geometry
data_MgB4Ir4
_chemical_formula_sum 'Mg2 B8 Ir8'
_space_group_name_H-M_alt 'P 42/n m c'
_space_group_IT_number 137
_cell_length_a 5.430
_cell_length_b 5.430
_cell_length_c 7.184
_cell_angle_alpha 90.00
_cell_angle_beta 90.00
_cell_angle_gamma 90.00
loop_
_space_group_symop_operation_xyz
'x,y,z'
'-x,-y,-z'
'-y+1/2,x,z+1/2'
'y+1/2,-x,-z+1/2'
'-x+1/2,-y+1/2,z'
'x+1/2,y+1/2,-z'
'y,-x+1/2,z+1/2'
'-y,x+1/2,-z+1/2'
'x+1/2,-y,-z'
'-x+1/2,y,z'
'-y,-x,-z+1/2'
'y,x,z+1/2'
'-x,y+1/2,-z'
'x,-y+1/2,z'
'y+1/2,x+1/2,-z+1/2'
'-y+1/2,-x+1/2,z+1/2'
loop_
_atom_site_label
_atom_site_type_symbol
_atom_site_fract_x
_atom_site_fract_y
_atom_site_fract_z
_atom_site_occupancy
Mg1 Mg 0.250 0.750 0.250 1
B1 B 0.074 0.250 0.104 1
Ir1 Ir 0.003 0.750 0.597 1
# - Density of states at the Fermi level: 0.256 states/eV/atom
# - Formation energy: -0.27 eV/atom
# - VASP energy: -132.34 eV/cell